[1]
DFT (PBE-GGA) results for a relaxed structure of Tb3Ho3TmSe8.

Summary:
* total DFT energy (no corrections): -5.825 eV per atom
* raw formation energy: -1.826 eV/atom

Lattice parameters (Å, degrees): 8.1145 8.1145 19.9030 90.00 90.00 120.00
Space group R-3m (No. 166, hexagonal axes)
Symmetry-distinct sites (fractional):
Tb 0.0000 0.5000 0.0000 x9
Ho 0.0000 0.5000 0.5000 x9
Tm 0.0000 0.0000 0.5000 x3
Se 0.0000 0.0000 0.2488 x6
Se 0.0027 0.5014 0.7506 x18

=====

[2]
DFT (PBE-GGA) results for a relaxed structure of AlV3Mo4.

Summary:
* total DFT energy (no corrections): -9.388 eV per atom

Lattice parameters (Å, degrees): 4.3516 4.3516 6.2366 90.00 90.00 90.00
Space group P4/mmm (No. 123)
Symmetry-distinct sites (fractional):
Al 0.0000 0.0000 0.0000 x1
V 0.0000 0.0000 0.5000 x1
V 0.5000 0.5000 0.0000 x1
V 0.5000 0.5000 0.5000 x1
Mo 0.0000 0.5000 0.2612 x4

=====

[3]
DFT (PBE-GGA) results for a relaxed structure of YPtI.

Summary:
* total DFT energy (no corrections): -5.574 eV per atom
* raw formation energy: -0.889 eV/atom

Lattice parameters (Å, degrees): 12.6920 13.1369 8.3148 90.00 90.00 90.00
Space group Fdd2 (No. 43)
Symmetry-distinct sites (fractional):
Y 0.0591 0.2823 0.0000 x16
Pt 0.0158 0.3896 0.2899 x16
I 0.0851 0.3819 0.6630 x16

=====

[4]
DFT (PBE-GGA) results for a relaxed structure of CdCo2Tc.

Summary:
* total DFT energy (no corrections): -5.993 eV per atom

Lattice parameters (Å, degrees): 2.7104 4.5170 9.1937 90.00 90.00 90.00
Space group Imm2 (No. 44)
Symmetry-distinct sites (fractional):
Cd 0.0000 0.0000 0.0000 x2
Co 0.0000 0.0000 0.4755 x2
Co 0.0000 0.5000 0.7631 x2
Tc 0.0000 0.5000 0.2164 x2

=====

[5]
DFT (PBE-GGA) results for a relaxed structure of ZnAg3Sn3S8.

Summary:
* total DFT energy (no corrections): -3.937 eV per atom
* raw formation energy: -0.280 eV/atom

Lattice parameters (Å, degrees): 7.4920 7.4920 19.2583 90.00 90.00 120.00
Space group R-3m (No. 166, hexagonal axes)
Symmetry-distinct sites (fractional):
Zn 0.0000 0.0000 0.0000 x3
Ag 0.0000 0.5000 0.5000 x9
Sn 0.0000 0.5000 0.0000 x9
S 0.0000 0.0000 0.2521 x6
S 0.0095 0.5047 0.7429 x18

=====

[6]
DFT (PBE-GGA) results for a relaxed structure of PmTl2Si3Au12.

Summary:
* total DFT energy (no corrections): -3.654 eV per atom
* raw formation energy: -0.038 eV/atom

Lattice parameters (Å, degrees): 8.9771 8.9771 17.1700 90.00 90.00 120.00
Space group R-3m (No. 166, hexagonal axes)
Symmetry-distinct sites (fractional):
Pm 0.0000 0.0000 0.0000 x3
Tl 0.0000 0.0000 0.4114 x6
Si 0.0000 0.5000 0.5000 x9
Au 0.0362 0.5181 0.8092 x18
Au 0.0507 0.5254 0.3603 x18